Crystalline Sr4DyMg5 at its relaxed geometry. Source: Alexandria via LeMat-Bulk, functional PBE-GGA.

Results
final energy: -1.98 eV per atom

Geometry as CIF:
```
data_Sr4DyMg5
_chemical_formula_sum 'Sr4 Dy1 Mg5'
_symmetry_space_group_name_H-M 'P 1'
_symmetry_Int_Tables_number 1
_cell_length_a 4.0586
_cell_length_b 4.0586
_cell_length_c 20.9083
_cell_angle_alpha 90.00
_cell_angle_beta 90.00
_cell_angle_gamma 90.00
loop_
_symmetry_equiv_pos_as_xyz
'x,y,z'
loop_
_atom_site_label
_atom_site_fract_x
_atom_site_fract_y
_atom_site_fract_z
Sr1 0.0000 0.0000 0.1043
Sr2 0.0000 0.0000 0.3130
Sr3 0.0000 0.0000 0.6870
Sr4 0.0000 0.0000 0.8957
Dy1 0.0000 0.0000 0.5000
Mg1 0.5000 0.5000 0.0000
Mg2 0.5000 0.5000 0.2082
Mg3 0.5000 0.5000 0.4193
Mg4 0.5000 0.5000 0.5807
Mg5 0.5000 0.5000 0.7918
```